VASP calculation (GGA-PBE) on an optimized crystal structure of TiS3.

Cell lengths 5.0261, 3.4202, 9.5105 Å; angles 90.00, 95.78, 90.00 degrees
Fractional positions:
Ti (0.2230, 0.2500, 0.3587)
Ti (0.7770, 0.7500, 0.6413)
S (0.0104, 0.2500, 0.8007)
S (0.2589, 0.7500, 0.5465)
S (0.3960, 0.7500, 0.1996)
S (0.6040, 0.2500, 0.8004)
S (0.7411, 0.2500, 0.4535)
S (0.9896, 0.7500, 0.1993)

* formation energy (no corrections): -0.969 eV/atom
* space group: P2_1/m (11)